Entry 1:
This record from the Alexandria database describes LaGdN after structural relaxation. The functional is GGA-PBE.

a b c (Å): 6.2212 6.2212 6.2212
angles (deg): 90.00 90.00 90.00
With the nearest neighbours (Å) after each atom.
Space group F-43m (No. 216)
One atom of each set of equivalent atoms:
La 0.0000 0.0000 0.0000 x4  4 N 2.69
Gd 0.0000 0.0000 0.5000 x4  4 N 2.69
N 0.2500 0.2500 0.7500 x4  4 Gd 2.69, 4 La 2.69

## Properties
DOS at the Fermi energy   8.6 states/eV/cell
V   20.1 Å³ per atom
Formation energy from raw total energies   -0.38 eV/atom


Entry 2:
This record from the Alexandria database describes MgGaPdAu after structural relaxation. The functional is GGA-PBE.

a b c (Å): 6.3929 6.3929 6.3929
angles (deg): 90.00 90.00 90.00
With the nearest neighbours (Å) after each atom.
Space group F-43m (No. 216)
One atom of each set of equivalent atoms:
Mg 0.0000 0.0000 0.0000 x4  4 Pd 2.77, 4 Au 2.77
Ga 0.0000 0.0000 0.5000 x4  4 Pd 2.77, 4 Au 2.77
Pd 0.2500 0.2500 0.7500 x4  4 Mg 2.77, 4 Ga 2.77
Au 0.2500 0.2500 0.2500 x4  4 Mg 2.77, 4 Ga 2.77

## Properties
DOS at the Fermi energy   8.4 states/eV/cell
Formation energy   -540 meV/atom
V   16.3 Å³ per atom